ZnAu2Br: relaxed, PBE.

Lattice parameters (Å, degrees): 3.459 3.459 6.942 90.00 90.00 90.00
Sites, in units of the cell vectors:
Au 0.000 0.000 0.978
Au 0.500 0.500 0.189
Br 0.000 0.000 0.534
Zn 0.500 0.500 0.799

Results
total energy	-2.29	eV per atom
volume	83	Å³/f.u.
total magnetic moment	0.00	μB per cell
crystal system	tetragonal
formation energy without anion corrections	0.0809	eV/atom

ZnAuBr2: relaxed, PBE.

Lattice parameters (Å, degrees): 4.291 4.291 8.063 63.03 63.03 53.75
Sites, in units of the cell vectors:
Au 0.250 0.250 0.250
Br 0.995 0.995 0.981
Br 0.505 0.505 0.519
Zn 0.750 0.750 0.750

Results
total energy	-2.00	eV per atom
volume	103	Å³/f.u.
total magnetic moment	0.00	μB per cell
crystal system	monoclinic
formation energy without anion corrections	-0.0268	eV/atom

ZnAuBr2: relaxed, PBE.

Lattice parameters (Å, degrees): 8.767 8.767 8.767 26.94 26.94 26.94
Sites, in units of the cell vectors:
Zn 0.000 0.000 0.000
Au 0.500 0.500 0.500
Br 0.898 0.898 0.898
Br 0.102 0.102 0.102

Results
total energy	-1.84	eV per atom
volume	122	Å³/f.u.
total magnetic moment	0.00	μB per cell
crystal system	trigonal
formation energy without anion corrections	0.1313	eV/atom

ZrZnAuBr2: relaxed, PBE.

Lattice parameters (Å, degrees): 5.508 4.844 5.508 90.00 90.00 90.00
Sites, in units of the cell vectors:
Zn 0.000 0.500 0.000
Au 0.000 0.000 0.000
Br 0.000 0.000 0.500
Br 0.500 0.000 0.000
Zr 0.500 0.500 0.500

Results
total energy	-2.73	eV per atom
volume	147	Å³/f.u.
total magnetic moment	2.76	μB per cell
crystal system	tetragonal
formation energy without anion corrections	0.5581	eV/atom

Zr3AuBr: relaxed, PBE.

Lattice parameters (Å, degrees): 4.933 4.933 4.933 90.00 90.00 90.00
Sites, in units of the cell vectors:
Au 0.500 0.500 0.500
Br 0.000 0.000 0.000
Zr 0.000 0.500 0.000
Zr 0.000 0.000 0.500
Zr 0.500 0.000 0.000

Results
total energy	-5.73	eV per atom
volume	120	Å³/f.u.
total magnetic moment	0.00	μB per cell
crystal system	cubic
formation energy without anion corrections	0.3895	eV/atom

ZrAuBr6: relaxed, PBE.

Lattice parameters (Å, degrees): 6.112 7.978 8.074 53.69 67.75 67.93
Sites, in units of the cell vectors:
Zr 0.000 0.000 0.000
Au 0.500 0.500 0.500
Br 0.165 0.352 0.836
Br 0.839 0.166 0.652
Br 0.616 0.169 0.168
Br 0.161 0.834 0.348
Br 0.835 0.648 0.164
Br 0.384 0.831 0.832

Results
total energy	-3.55	eV per atom
volume	288	Å³/f.u.
total magnetic moment	0.34	μB per cell
crystal system	triclinic
formation energy without anion corrections	-0.8201	eV/atom

Zr2AuBr: relaxed, PBE.

Lattice parameters (Å, degrees): 3.317 3.295 8.196 89.99 90.00 90.00
Sites, in units of the cell vectors:
Au 0.500 0.250 0.250
Zr 0.000 0.750 0.032
Zr 0.000 0.750 0.468
Br 0.500 0.750 0.750

Results
total energy	-5.89	eV per atom
volume	90	Å³/f.u.
total magnetic moment	0.00	μB per cell
crystal system	orthorhombic
formation energy without anion corrections	-0.3818	eV/atom

Zr2AuBr: relaxed, PBE.

Lattice parameters (Å, degrees): 3.202 4.063 6.475 90.00 90.00 90.00
Sites, in units of the cell vectors:
Au 0.500 0.500 0.250
Br 0.500 0.500 0.750
Zr 0.000 0.000 0.020
Zr 0.000 0.000 0.480

Results
total energy	-5.78	eV per atom
volume	84	Å³/f.u.
total magnetic moment	0.00	μB per cell
crystal system	orthorhombic
formation energy without anion corrections	-0.2671	eV/atom